A relaxed BaCeH6Pd2 crystal, computed with GGA-PBE.

The structure belongs to space group C2/c (No. 15); the cell edges are 8.3823, 10.2248 and 6.9736 Å and the angles 90.00°, 114.07° and 90.00°. Symmetry generates all atoms from Ba at (0.0000, 0.1579, 0.2500), Ce at (0.0000, 0.4111, 0.7500), H at (0.0827, 0.4024, 0.1137), H at (0.1688, 0.2600, 0.6398), H at (0.1877, 0.0425, 0.0156) and Pd at (0.1889, 0.1453, 0.8276).

The calculation puts the total energy at -4.27 eV per atom. The density of states at the Fermi level comes out at 0.844 states/eV/atom.